Entry 1:
Entry from Alexandria via LeMat-Bulk: an optimized crystal structure of AlTlPt2O (PBE-GGA).

Values from the calculation:
Uncorrected formation energy   0.83 eV per atom
D(E_F)   3.36 states/eV/cell
Calculated total energy   -3.801 eV per atom
Total moment   0.00 μB per cell

Lattice parameters (Å, degrees): 5.1473 4.0537 5.1473 90.00 90.00 90.00
With the nearest neighbours (Å) after each atom.
Sites, in units of the cell vectors:
1 Al 0.5000 0.5000 0.5000  8 Pt 3.28, 4 O 3.64
2 Pt 0.5000 0.0000 0.0000  2 Tl 2.57
3 O 0.0000 0.5000 0.0000  2 Tl 2.03
4 Tl 0.0000 0.0000 0.0000  2 O 2.03
5 Pt 0.0000 0.0000 0.5000  2 Tl 2.57

***

Entry 2:
Entry from Alexandria via LeMat-Bulk: an optimized crystal structure of YAl2PtO (PBE-GGA).

Values from the calculation:
Uncorrected formation energy   1.37 eV per atom
D(E_F)   5.26 states/eV/cell
Calculated total energy   -3.620 eV per atom
Total moment   0.00 μB per cell

Lattice parameters (Å, degrees): 5.8067 5.0015 5.8067 90.00 90.00 90.00
With the nearest neighbours (Å) after each atom.
Sites, in units of the cell vectors:
1 Y 0.0000 0.0000 0.0000  2 Pt 2.50
2 Pt 0.0000 0.5000 0.0000  2 Y 2.50
3 Al 0.5000 0.0000 0.0000  2 Y 2.90
4 Al 0.0000 0.0000 0.5000  2 Y 2.90
5 O 0.5000 0.5000 0.5000  8 Al 3.83, 4 Pt 4.11

***

Entry 3:
Entry from Alexandria via LeMat-Bulk: an optimized crystal structure of Pu3Al5O12 (PBE-GGA).

Values from the calculation:
Uncorrected formation energy   -2.98 eV per atom
D(E_F)   98.53 states/eV/cell
Calculated total energy   -9.042 eV per atom
Total moment   60.00 μB per cell

Lattice parameters (Å, degrees): 10.6538 10.6538 10.6538 109.47 109.47 109.47
With the nearest neighbours (Å) after each atom.
Sites, in units of the cell vectors:
1 Al 0.1250 0.3750 0.2500  4 O 1.79
2 O 0.6807 0.1953 0.5810  2 Al 1.79-1.95
3 O 0.9190 0.0997 0.6144  2 Al 1.79-1.95
4 Al 0.1250 0.7500 0.3750  4 O 1.79
5 Al 0.6250 0.7500 0.8750  4 O 1.79
6 O 0.3047 0.8856 0.9853  2 Al 1.79-1.95
7 O 0.0997 0.9190 0.1144  2 Al 1.79-1.95
8 Al 0.5000 0.0000 0.0000  6 O 1.95
9 Pu 0.6250 0.3750 0.7500  8 O 2.39-2.54
10 O 0.1953 0.6807 0.0809  2 Al 1.79-1.95
11 Pu 0.7500 0.8750 0.6250  8 O 2.39-2.54
12 O 0.1144 0.6953 0.5147  2 Al 1.79-1.95
13 O 0.8193 0.9190 0.3047  2 Al 1.79-1.95
14 O 0.1807 0.0997 0.9853  2 Al 1.79-1.95
15 O 0.4003 0.0147 0.3193  2 Al 1.79-1.95
16 O 0.5997 0.9853 0.6807  2 Al 1.79-1.95
17 O 0.4853 0.8047 0.8856  2 Al 1.79-1.95
18 Pu 0.1250 0.8750 0.7500  8 O 2.39-2.54
19 O 0.4003 0.3856 0.5810  2 Al 1.79-1.95
20 Al 0.7500 0.1250 0.8750  4 O 1.79
21 O 0.1953 0.5147 0.6144  2 Al 1.79-1.95
22 Al 0.0000 0.0000 0.5000  6 O 1.95
23 O 0.8856 0.3047 0.4853  2 Al 1.79-1.95
24 O 0.6144 0.5997 0.9190  2 Al 1.79-1.95
25 O 0.3856 0.4003 0.0809  2 Al 1.79-1.95
26 O 0.4190 0.1144 0.5997  2 Al 1.79-1.95
27 Al 0.3750 0.2500 0.1250  4 O 1.79
28 O 0.0147 0.4003 0.8193  2 Al 1.79-1.95
29 Pu 0.3750 0.7500 0.6250  8 O 2.39-2.54
30 Al 0.8750 0.2500 0.6250  4 O 1.79
31 Pu 0.1250 0.2500 0.8750  8 O 2.39-2.54
32 O 0.9003 0.8193 0.5147  2 Al 1.79-1.95
33 O 0.1807 0.0809 0.6953  2 Al 1.79-1.95
34 O 0.0809 0.9003 0.3856  2 Al 1.79-1.95
35 O 0.9853 0.5997 0.1807  2 Al 1.79-1.95
36 O 0.5997 0.6144 0.4190  2 Al 1.79-1.95
37 O 0.0997 0.1807 0.4853  2 Al 1.79-1.95
38 O 0.3193 0.5147 0.4003  2 Al 1.79-1.95
39 Pu 0.2500 0.6250 0.8750  8 O 2.39-2.54
40 Al 0.5000 0.5000 0.0000  6 O 1.95
41 Pu 0.6250 0.2500 0.3750  8 O 2.39-2.54
42 O 0.9853 0.3856 0.3047  2 Al 1.79-1.95
43 O 0.3193 0.8047 0.4190  2 Al 1.79-1.95
44 Al 0.2500 0.3750 0.6250  4 O 1.79
45 O 0.1144 0.4190 0.0997  2 Al 1.79-1.95
46 Al 0.5000 0.0000 0.5000  6 O 1.95
47 O 0.6953 0.1144 0.0147  2 Al 1.79-1.95
48 O 0.0147 0.6144 0.6953  2 Al 1.79-1.95
49 O 0.0809 0.1807 0.1953  2 Al 1.79-1.95
50 O 0.6807 0.4853 0.5997  2 Al 1.79-1.95
51 O 0.8856 0.5810 0.9003  2 Al 1.79-1.95
52 Al 0.0000 0.5000 0.5000  6 O 1.95
53 O 0.3856 0.9853 0.8047  2 Al 1.79-1.95
54 O 0.5147 0.1953 0.1144  2 Al 1.79-1.95
55 O 0.6953 0.5810 0.1807  2 Al 1.79-1.95
56 Pu 0.8750 0.7500 0.1250  8 O 2.39-2.54
57 O 0.9190 0.8193 0.8047  2 Al 1.79-1.95
58 Al 0.7500 0.6250 0.3750  4 O 1.79
59 Pu 0.8750 0.1250 0.2500  8 O 2.39-2.54
60 Al 0.8750 0.6250 0.7500  4 O 1.79
61 Al 0.0000 0.0000 0.0000  6 O 1.95
62 Pu 0.2500 0.1250 0.3750  8 O 2.39-2.54
63 Al 0.6250 0.8750 0.2500  4 O 1.79
64 O 0.4190 0.3047 0.3193  2 Al 1.79-1.95
65 Al 0.0000 0.5000 0.0000  6 O 1.95
66 O 0.8193 0.9003 0.0147  2 Al 1.79-1.95
67 Al 0.2500 0.8750 0.1250  4 O 1.79
68 O 0.5810 0.8856 0.4003  2 Al 1.79-1.95
69 Pu 0.7500 0.3750 0.1250  8 O 2.39-2.54
70 O 0.6144 0.0147 0.1953  2 Al 1.79-1.95
71 Al 0.5000 0.5000 0.5000  6 O 1.95
72 Pu 0.3750 0.6250 0.2500  8 O 2.39-2.54
73 Al 0.3750 0.1250 0.7500  4 O 1.79
74 O 0.8047 0.3193 0.9190  2 Al 1.79-1.95
75 O 0.3047 0.4190 0.8193  2 Al 1.79-1.95
76 O 0.5147 0.3193 0.9003  2 Al 1.79-1.95
77 O 0.4853 0.6807 0.0997  2 Al 1.79-1.95
78 O 0.8047 0.4853 0.3856  2 Al 1.79-1.95
79 O 0.5810 0.6953 0.6807  2 Al 1.79-1.95
80 O 0.9003 0.0809 0.8856  2 Al 1.79-1.95

***

Entry 4:
Entry from Alexandria via LeMat-Bulk: an optimized crystal structure of Pu2AlO8 (PBE-GGA).

Values from the calculation:
Uncorrected formation energy   -2.34 eV per atom
D(E_F)   5.68 states/eV/cell
Calculated total energy   -8.892 eV per atom
Total moment   3.00 μB per cell

Lattice parameters (Å, degrees): 5.5825 5.5788 6.1830 128.57 89.51 108.55
With the nearest neighbours (Å) after each atom.
Sites, in units of the cell vectors:
1 O 0.4579 0.7528 0.2104  1 Pu 1.90
2 O 0.5421 0.2472 0.7896  1 Pu 1.90
3 O 0.0348 0.1084 0.7615  1 Al 1.90, 1 Pu 2.03
4 O 0.8792 0.3652 0.2456  1 Pu 1.88, 1 Al 1.98
5 O 0.1208 0.6348 0.7544  1 Pu 1.88, 1 Al 1.98
6 Pu 0.6809 0.5991 0.2802  4 O 1.88-2.03
7 Al 0.0000 0.0000 0.0000  6 O 1.90-1.98
8 O 0.3464 0.2739 0.2391  1 Al 1.90, 1 Pu 2.03
9 Pu 0.3191 0.4009 0.7198  4 O 1.88-2.03
10 O 0.9652 0.8916 0.2385  1 Al 1.90, 1 Pu 2.03
11 O 0.6536 0.7261 0.7609  1 Al 1.90, 1 Pu 2.03

***

Entry 5:
Entry from Alexandria via LeMat-Bulk: an optimized crystal structure of PuAlO3 (PBE-GGA).

Values from the calculation:
Uncorrected formation energy   -2.69 eV per atom
D(E_F)   36.36 states/eV/cell
Calculated total energy   -9.276 eV per atom
Total moment   18.30 μB per cell

Lattice parameters (Å, degrees): 6.9410 6.9410 6.9410 60.00 60.00 60.00
With the nearest neighbours (Å) after each atom.
Sites, in units of the cell vectors:
1 O 0.2918 0.7082 0.7082  2 Al 1.92
2 O 0.7082 0.2918 0.7082  2 Al 1.92
3 O 0.5418 0.9582 0.9582  2 Al 1.92
4 O 0.2918 0.7082 0.2918  2 Al 1.92
5 Al 0.6250 0.6250 0.6250  6 O 1.92
6 Pu 0.1250 0.1250 0.1250  6 O 2.39
7 Pu 0.6250 0.1250 0.1250  6 O 2.39
8 O 0.5418 0.9582 0.5418  2 Al 1.92
9 O 0.2918 0.2918 0.7082  2 Al 1.92
10 O 0.7082 0.2918 0.2918  2 Al 1.92
11 O 0.9582 0.5418 0.9582  2 Al 1.92
12 O 0.5418 0.5418 0.9582  2 Al 1.92
13 Al 0.1250 0.6250 0.6250  6 O 1.92
14 O 0.9582 0.5418 0.5418  2 Al 1.92
15 Al 0.6250 0.6250 0.1250  6 O 1.92
16 O 0.7082 0.7082 0.2918  2 Al 1.92
17 O 0.9582 0.9582 0.5418  2 Al 1.92
18 Pu 0.1250 0.1250 0.6250  6 O 2.39
19 Al 0.6250 0.1250 0.6250  6 O 1.92
20 Pu 0.1250 0.6250 0.1250  6 O 2.39

***

Entry 6:
Entry from Alexandria via LeMat-Bulk: an optimized crystal structure of PuAlO6 (PBE-GGA).

Values from the calculation:
Uncorrected formation energy   -1.59 eV per atom
D(E_F)   5.71 states/eV/cell
Calculated total energy   -7.568 eV per atom
Total moment   1.01 μB per cell

Lattice parameters (Å, degrees): 5.3753 5.2160 7.1997 69.86 48.06 58.98
With the nearest neighbours (Å) after each atom.
Sites, in units of the cell vectors:
1 O 0.7246 0.2786 0.2636  1 Al 1.96, 1 Pu 1.96
2 O 0.0032 0.7214 0.2636  1 Al 1.96, 1 Pu 1.96
3 O 0.4892 0.0000 0.2405  1 Al 1.91, 1 Pu 2.05
4 O 0.2754 0.7214 0.7364  1 Al 1.96, 1 Pu 1.96
5 Al 0.5000 0.0000 0.5000  6 O 1.91-1.96
6 Pu 0.0000 0.0000 0.0000  6 O 1.96-2.05
7 O 0.9968 0.2786 0.7364  1 Al 1.96, 1 Pu 1.96
8 O 0.5108 0.0000 0.7595  1 Al 1.91, 1 Pu 2.05